# Mn4RuRh, optimized geometry, DFT PBE
data_Mn4RuRh
_cell_length_a 6.604
_cell_length_b 6.604
_cell_length_c 6.604
_cell_angle_alpha 90.00
_cell_angle_beta 90.00
_cell_angle_gamma 90.00
_symmetry_space_group_name_H-M 'F -4 3 m'
_symmetry_Int_Tables_number 216
_symmetry_space_group_name_Hall 'F -4 2 3'
loop_
_atom_site_label
_atom_site_type_symbol
_atom_site_fract_x
_atom_site_fract_y
_atom_site_fract_z
Mn1 Mn 0.124 0.124 0.376
Ru1 Ru 0.000 0.000 0.000
Rh1 Rh 0.250 0.250 0.750
# Volume, Å³ per atom: 12.0
# Formation energy from the elements, eV per atom: 0.05
# Final energy, eV/cell: -212.11

=====

# DyTiSi2, optimized geometry, DFT PBE
data_DyTiSi2
_cell_length_a 4.1636
_cell_length_b 4.1636
_cell_length_c 15.4590
_cell_angle_alpha 90.00
_cell_angle_beta 90.00
_cell_angle_gamma 120.00
_symmetry_space_group_name_H-M 'R -3 m'
_symmetry_Int_Tables_number 166
_symmetry_space_group_name_Hall '-R 3 2"'
loop_
_atom_site_label
_atom_site_type_symbol
_atom_site_fract_x
_atom_site_fract_y
_atom_site_fract_z
Dy1 Dy 0.0000 0.0000 0.0000
Ti1 Ti 0.0000 0.0000 0.5000
Si1 Si 0.0000 0.0000 0.2284
# Volume, Å³ per atom: 19.3
# Final energy, eV/cell: -76.23
# Energy relative to the elements, uncorrected, eV/atom: -0.52

=====

# DyCo2C, optimized geometry, DFT PBE
data_DyCo2C
_cell_length_a 3.4870
_cell_length_b 3.4870
_cell_length_c 14.9537
_cell_angle_alpha 90.00
_cell_angle_beta 90.00
_cell_angle_gamma 120.00
_symmetry_space_group_name_H-M 'R -3 m'
_symmetry_Int_Tables_number 166
_symmetry_space_group_name_Hall '-R 3 2"'
loop_
_atom_site_label
_atom_site_type_symbol
_atom_site_fract_x
_atom_site_fract_y
_atom_site_fract_z
Dy1 Dy 0.0000 0.0000 0.0000
Co1 Co 0.0000 0.0000 0.2012
C1 C 0.0000 0.0000 0.5000
# Volume, Å³ per atom: 13.1
# Formation energy from the elements, eV per atom: 0.16
# Final energy, eV/cell: -82.25
# Excess energy over the best structure of this formula in the dataset, eV per atom: 0.125

=====

# SrMg3, optimized geometry, DFT PBE
data_SrMg3
_cell_length_a 5.6327
_cell_length_b 5.6327
_cell_length_c 9.7704
_cell_angle_alpha 90.00
_cell_angle_beta 90.00
_cell_angle_gamma 120.00
_symmetry_space_group_name_H-M 'P 63/m m c'
_symmetry_Int_Tables_number 194
_symmetry_space_group_name_Hall '-P 6c 2c'
loop_
_atom_site_label
_atom_site_type_symbol
_atom_site_fract_x
_atom_site_fract_y
_atom_site_fract_z
Sr1 Sr 0.3333 0.6667 0.2500
Mg1 Mg 0.0000 0.0000 0.2500
Mg2 Mg 0.3333 0.6667 0.5974
# Volume, Å³ per atom: 33.6
# Formation energy from the elements, eV per atom: 0.24
# Final energy, eV/cell: -10.97

=====

# Sn2PBr, optimized geometry, DFT PBE
data_Sn2PBr
_cell_length_a 4.1680
_cell_length_b 4.1680
_cell_length_c 22.1613
_cell_angle_alpha 90.00
_cell_angle_beta 90.00
_cell_angle_gamma 120.00
_symmetry_space_group_name_H-M 'R -3 m'
_symmetry_Int_Tables_number 166
_symmetry_space_group_name_Hall '-R 3 2"'
loop_
_atom_site_label
_atom_site_type_symbol
_atom_site_fract_x
_atom_site_fract_y
_atom_site_fract_z
Sn1 Sn 0.0000 0.0000 0.2342
P1 P 0.0000 0.0000 0.5000
Br1 Br 0.0000 0.0000 0.0000
# Volume, Å³ per atom: 27.8
# Final energy, eV/cell: -48.19
# Excess energy over the best structure of this formula in the dataset, eV per atom: 0.000
# Energy relative to the elements, uncorrected, eV/atom: -0.24

=====

# Ac7Pt2Rh2, optimized geometry, DFT PBE
data_Ac7Pt2Rh2
_cell_length_a 4.167
_cell_length_b 16.647
_cell_length_c 10.216
_cell_angle_alpha 90.00
_cell_angle_beta 90.00
_cell_angle_gamma 90.00
_symmetry_space_group_name_H-M 'I m m 2'
_symmetry_Int_Tables_number 44
_symmetry_space_group_name_Hall 'I 2 -2'
loop_
_atom_site_label
_atom_site_type_symbol
_atom_site_fract_x
_atom_site_fract_y
_atom_site_fract_z
Ac1 Ac 0.000 0.000 0.000
Ac2 Ac 0.000 0.109 0.369
Ac3 Ac 0.000 0.307 0.578
Ac4 Ac 0.000 0.381 0.218
Pt1 Pt 0.000 0.242 0.868
Rh1 Rh 0.000 0.000 0.626
Rh2 Rh 0.000 0.500 0.706
# Volume, Å³ per atom: 32.2
# Formation energy from the elements, eV per atom: -0.68
# Final energy, eV/cell: -126.11

=====

# Ag2Ge2Te, optimized geometry, DFT PBE
data_Ag2Ge2Te
_cell_length_a 7.542
_cell_length_b 7.542
_cell_length_c 3.827
_cell_angle_alpha 90.00
_cell_angle_beta 90.00
_cell_angle_gamma 90.00
_symmetry_space_group_name_H-M 'P 4/m b m'
_symmetry_Int_Tables_number 127
_symmetry_space_group_name_Hall '-P 4 2ab'
loop_
_atom_site_label
_atom_site_type_symbol
_atom_site_fract_x
_atom_site_fract_y
_atom_site_fract_z
Ag1 Ag 0.135 0.365 0.000
Ge1 Ge 0.151 0.651 0.500
Te1 Te 0.000 0.000 0.000
# Volume, Å³ per atom: 21.8
# Final energy, eV/cell: -33.62
# Excess energy over the best structure of this formula in the dataset, eV per atom: 0.052
# Energy relative to the elements, uncorrected, eV/atom: 0.25

=====

# Ba2ErHg, optimized geometry, DFT PBE
data_Ba2ErHg
_cell_length_a 3.9011
_cell_length_b 3.9011
_cell_length_c 37.6613
_cell_angle_alpha 90.00
_cell_angle_beta 90.00
_cell_angle_gamma 120.00
_symmetry_space_group_name_H-M 'R -3 m'
_symmetry_Int_Tables_number 166
_symmetry_space_group_name_Hall '-R 3 2"'
loop_
_atom_site_label
_atom_site_type_symbol
_atom_site_fract_x
_atom_site_fract_y
_atom_site_fract_z
Ba1 Ba 0.0000 0.0000 0.0959
Er1 Er 0.0000 0.0000 0.0000
Hg1 Hg 0.0000 0.0000 0.5000
# Volume, Å³ per atom: 41.4
# Formation energy from the elements, eV per atom: 0.19
# Final energy, eV/cell: -23.84